# 1
Compound: Li2TiRh2
Source: Alexandria via LeMat-Bulk
Functional: PBE
Structure: relaxed

Results
ρ	6.9	g/cm3
VASP energy	-0.4060	Ry/atom
symmetry	No. 127
excess energy over the best structure of this formula in the dataset	105.4	kJ/mol of formula units
total moment	0.00	μB/cell

Lattice parameters (Å, degrees): 6.5652 6.5652 2.9873 90.00 90.00 90.00
With the nearest neighbours (Å) after each atom.
Fractional positions:
Li (0.8909, 0.6091, 0.0000)  1 Li 2.03
Li (0.3909, 0.8909, 0.0000)  1 Li 2.03
Li (0.1091, 0.3909, 0.0000)  1 Li 2.03
Li (0.6091, 0.1091, 0.0000)  1 Li 2.03
Rh (0.6925, 0.8075, 0.5000)  6 Li 2.37-2.54
Rh (0.8075, 0.3075, 0.5000)  6 Li 2.37-2.54
Rh (0.1925, 0.6925, 0.5000)  6 Li 2.37-2.54
Rh (0.3075, 0.1925, 0.5000)  6 Li 2.37-2.54
Ti (0.0000, 0.0000, 0.0000)  4 Li 2.66, 8 Rh 2.81
Ti (0.5000, 0.5000, 0.0000)  4 Li 2.66, 8 Rh 2.81



# 2
Compound: LiTiRh2
Source: Alexandria via LeMat-Bulk
Functional: PBE
Structure: relaxed

Results
ρ	7.9	g/cm3
VASP energy	-0.4979	Ry/atom
symmetry	No. 225
excess energy over the best structure of this formula in the dataset	0.0	kJ/mol of formula units
total moment	0.00	μB/cell

Lattice parameters (Å, degrees): 4.2563 4.2563 4.2563 60.00 60.00 60.00
With the nearest neighbours (Å) after each atom.
Fractional positions:
Li (0.0000, 0.0000, 0.0000)  8 Rh 2.61
Ti (0.5000, 0.5000, 0.5000)  8 Rh 2.61
Rh (0.2500, 0.2500, 0.2500)  4 Li 2.61, 4 Ti 2.61
Rh (0.7500, 0.7500, 0.7500)  4 Li 2.61, 4 Ti 2.61



# 3
Compound: LiTiRh2
Source: Alexandria via LeMat-Bulk
Functional: PBE
Structure: relaxed

Results
ρ	7.9	g/cm3
VASP energy	-0.4976	Ry/atom
symmetry	No. 123
excess energy over the best structure of this formula in the dataset	1.5	kJ/mol of formula units
total moment	0.00	μB/cell

Lattice parameters (Å, degrees): 3.0539 3.0539 5.8704 90.00 90.00 90.00
With the nearest neighbours (Å) after each atom.
Fractional positions:
Rh (0.0000, 0.0000, 0.7467)  4 Li 2.60, 4 Ti 2.62, 1 Rh 2.90
Rh (0.0000, 0.0000, 0.2533)  4 Li 2.60, 4 Ti 2.62, 1 Rh 2.90
Ti (0.5000, 0.5000, 0.0000)  8 Rh 2.62, 2 Li 2.94
Li (0.5000, 0.5000, 0.5000)  8 Rh 2.60



# 4
Compound: Li2TiRh
Source: Alexandria via LeMat-Bulk
Functional: PBE
Structure: relaxed

Results
ρ	4.4	g/cm3
VASP energy	-0.3558	Ry/atom
symmetry	No. 122
excess energy over the best structure of this formula in the dataset	0.0	kJ/mol of formula units
total moment	0.88	μB/cell

Lattice parameters (Å, degrees): 3.5403 3.5403 10.2882 80.09 80.09 90.00
With the nearest neighbours (Å) after each atom.
Fractional positions:
Li (0.8750, 0.8963, 0.7500)  4 Li 2.40-2.61
Li (0.6463, 0.1250, 0.2500)  4 Li 2.40-2.61
Li (0.3750, 0.3537, 0.7500)  4 Li 2.40-2.61
Li (0.1037, 0.6250, 0.2500)  4 Li 2.40-2.61
Rh (0.0000, 0.0000, 0.0000)  4 Ti 2.50, 4 Li 2.77
Rh (0.7500, 0.2500, 0.5000)  4 Ti 2.50, 4 Li 2.77
Ti (0.2500, 0.7500, 0.5000)  4 Rh 2.50
Ti (0.5000, 0.5000, 0.0000)  4 Rh 2.50



Question: What is the formula in the second record?
Answer: LiTiRh2



Copy entry 1 word for word.
Compound: Li2TiRh2
Source: Alexandria via LeMat-Bulk
Functional: PBE
Structure: relaxed

Results
ρ	6.9	g/cm3
VASP energy	-0.4060	Ry/atom
symmetry	No. 127
excess energy over the best structure of this formula in the dataset	105.4	kJ/mol of formula units
total moment	0.00	μB/cell

Lattice parameters (Å, degrees): 6.5652 6.5652 2.9873 90.00 90.00 90.00
With the nearest neighbours (Å) after each atom.
Fractional positions:
Li (0.8909, 0.6091, 0.0000)  1 Li 2.03
Li (0.3909, 0.8909, 0.0000)  1 Li 2.03
Li (0.1091, 0.3909, 0.0000)  1 Li 2.03
Li (0.6091, 0.1091, 0.0000)  1 Li 2.03
Rh (0.6925, 0.8075, 0.5000)  6 Li 2.37-2.54
Rh (0.8075, 0.3075, 0.5000)  6 Li 2.37-2.54
Rh (0.1925, 0.6925, 0.5000)  6 Li 2.37-2.54
Rh (0.3075, 0.1925, 0.5000)  6 Li 2.37-2.54
Ti (0.0000, 0.0000, 0.0000)  4 Li 2.66, 8 Rh 2.81
Ti (0.5000, 0.5000, 0.0000)  4 Li 2.66, 8 Rh 2.81